# LaCr7 (PBE, optimized geometry)
data_LaCr7
_cell_length_a 7.7922
_cell_length_b 7.7922
_cell_length_c 7.7922
_cell_angle_alpha 90.00
_cell_angle_beta 90.00
_cell_angle_gamma 90.00
_space_group_name_H-M_alt 'F m -3 m'
_space_group_IT_number 225
_space_group_name_Hall '-F 4 2 3'
loop_
_atom_site_label
_atom_site_type_symbol
_atom_site_fract_x
_atom_site_fract_y
_atom_site_fract_z
La1 La 0.0000 0.0000 0.0000
Cr1 Cr 0.0000 0.0000 0.5000
Cr2 Cr 0.0000 0.2500 0.2500
# D(E_F) ... 50.64 states/eV per cell
# Calculated formation energy ... 0.8702 eV/atom